Density functional theory data (GGA+U) for crystalline Mn3O5F at its relaxed geometry.

raw total energy: -6.96 eV per atom
SG: P-1, No. 2
M_tot: 20.00 μB per cell

```
Mn3O5F
1.0
5.4270 0.0000 0.0000
1.5389 5.2527 0.0000
2.0176 1.4657 6.5426
Mn O F
6 10 2
direct
0.0000 0.0000 0.0000
0.0000 0.0000 0.5000
0.3479 0.3335 0.1600
0.3573 0.3072 0.6683
0.6427 0.6928 0.3317
0.6521 0.6665 0.8400
0.1060 0.0992 0.7048
0.2374 0.2286 0.9622
0.3054 0.6892 0.0005
0.3577 0.9839 0.3321
0.4271 0.4437 0.3725
0.5729 0.5563 0.6275
0.6423 0.0161 0.6679
0.6946 0.3108 0.9995
0.7626 0.7714 0.0378
0.8940 0.9008 0.2952
0.0345 0.6117 0.6805
0.9655 0.3883 0.3195
```